{"formula": "PmGaBRu2", "functional": "GGA-PBE", "state": "relaxed", "lattice": [[-3.547, 2.062, 0.480], [0.921, -3.603, 4.510], [3.624, 5.403, 3.576]], "species": ["B", "B", "Ru", "Ru", "Ru", "Ru", "Pm", "Pm", "Ga", "Ga"], "fractional_positions": [[0.000, 0.000, 0.000], [0.000, 0.000, 0.500], [0.825, 0.651, 0.441], [0.175, 0.349, 0.559], [0.175, 0.349, 0.941], [0.825, 0.651, 0.059], [0.550, 0.099, 0.250], [0.450, 0.901, 0.750], [0.727, 0.454, 0.750], [0.273, 0.546, 0.250]], "formation_energy_ev_per_atom": -0.41, "magmom_total_mub_per_atom": 0.00, "space_group": "Cmcm (63)"}